1.
RbInHg2Cl8 | PBE-GGA | optimized geometry

```
RbInHg2Cl8
1.0
6.643 0.219 0.505
0.246 6.887 1.179
0.697 1.719 8.917
Cl Hg Rb In
8 2 1 1
Direct
0.679 0.770 0.009
0.119 0.731 0.247
0.573 0.734 0.512
0.321 0.230 0.991
0.201 0.834 0.828
0.799 0.166 0.172
0.881 0.269 0.753
0.427 0.266 0.488
0.477 0.450 0.743
0.523 0.550 0.257
0.000 0.000 0.500
0.000 0.000 0.000
```

Output
* space-group type: P-1 (2)
* raw formation energy: -11.7 eV/f.u.

2.
Rb2InHgCl6 | PBE-GGA | optimized geometry

```
Rb2InHgCl6
1.0
7.644 0.000 0.000
3.822 6.620 0.000
3.822 2.207 6.241
Rb Cl In Hg
2 6 1 1
Direct
0.250 0.250 0.250
0.750 0.750 0.750
0.239 0.761 0.239
0.761 0.239 0.761
0.239 0.761 0.761
0.761 0.761 0.239
0.239 0.239 0.761
0.761 0.239 0.239
0.000 0.000 0.000
0.500 0.500 0.500
```

Output
* space-group type: Fm-3m (225)
* raw formation energy: -13.0 eV/f.u.

3.
RbInHgCl2 | PBE-GGA | optimized geometry

```
RbInHgCl2
1.0
-5.672 -0.900 -0.886
1.051 -1.099 -5.608
0.669 -5.377 1.179
In Cl Rb Hg
1 2 1 1
Direct
0.000 0.000 0.000
0.500 0.000 0.000
0.000 0.500 0.000
0.500 0.500 0.500
0.000 0.000 0.500
```

Output
* space-group type: P4/mmm (123)
* raw formation energy: -4.8 eV/f.u.

4.
In2HgRhCl | PBE-GGA | optimized geometry

```
In2HgRhCl
1.0
-1.715 3.699 -3.201
-0.864 -3.568 -3.661
-4.865 -0.685 1.815
In Hg Cl Rh
2 1 1 1
Direct
0.000 0.500 0.000
0.500 0.000 0.000
0.000 0.000 0.500
0.500 0.500 0.500
0.000 0.000 0.000
```

Output
* space-group type: P4/mmm (123)
* raw formation energy: -1.6 eV/f.u.

5.
InHgS2Cl | PBE-GGA | optimized geometry

```
InHgS2Cl
1.0
-4.741 -0.522 -1.868
-0.788 -3.991 3.113
-1.743 3.116 3.554
S In Hg Cl
2 1 1 1
Direct
0.500 0.000 0.000
0.000 0.500 0.000
0.000 0.000 0.000
0.500 0.500 0.500
0.000 0.000 0.500
```

Output
* space-group type: P4/mmm (123)
* raw formation energy: 0.4 eV/f.u.

6.
InHgS2Cl | PBE-GGA | optimized geometry

```
InHgS2Cl
1.0
5.730 0.000 0.000
0.000 7.464 3.060
0.000 1.163 8.344
S In Cl Hg
4 2 2 2
Direct
0.750 0.427 0.688
0.250 0.611 0.847
0.750 0.389 0.153
0.250 0.573 0.312
0.250 0.355 0.181
0.750 0.645 0.819
0.250 0.020 0.300
0.750 0.980 0.700
0.750 0.527 0.358
0.250 0.473 0.642
```

Output
* space-group type: P2_1/m (11)
* raw formation energy: -2.0 eV/f.u.

7.
InHgS2Cl | PBE-GGA | optimized geometry

```
InHgS2Cl
1.0
-0.598 2.700 -4.187
-1.957 -4.005 -2.304
-5.079 1.506 1.696
Cl S Hg In
1 2 1 1
Direct
0.000 0.000 0.500
0.000 0.500 0.000
0.500 0.000 0.000
0.000 0.000 0.000
0.500 0.500 0.500
```

Output
* space-group type: P4/mmm (123)
* raw formation energy: 1.1 eV/f.u.

8.
InHg7S6Cl5 | PBE-GGA | optimized geometry

```
InHg7S6Cl5
1.0
7.625 0.068 -0.054
-0.443 10.945 -0.004
-3.907 -5.068 12.629
Cl S Hg In
10 12 14 2
Direct
0.501 0.673 0.165
0.033 0.934 0.326
0.684 0.040 0.133
0.237 0.638 0.660
0.499 0.327 0.835
0.763 0.362 0.340
0.316 0.960 0.867
0.147 0.206 0.254
0.853 0.794 0.746
0.967 0.066 0.674
0.378 0.924 0.608
0.359 0.614 0.389
0.368 0.275 0.066
0.864 0.721 0.485
0.864 0.161 0.935
0.136 0.279 0.515
0.632 0.725 0.934
0.052 0.505 0.851
0.622 0.076 0.392
0.948 0.495 0.149
0.641 0.386 0.611
0.136 0.839 0.065
0.771 0.623 0.060
0.982 0.605 0.341
0.617 0.036 0.775
0.000 0.000 0.000
0.383 0.964 0.225
0.310 0.713 0.941
0.260 0.108 0.570
0.375 0.456 0.226
0.690 0.287 0.059
0.229 0.377 0.940
0.500 0.500 0.500
0.625 0.544 0.774
0.740 0.892 0.430
0.018 0.395 0.659
0.894 0.145 0.323
0.106 0.855 0.677
```

Output
* space-group type: P-1 (2)
* raw formation energy: -8.3 eV/f.u.

9.
InHgSbCl2 | PBE-GGA | optimized geometry

```
InHgSbCl2
1.0
-5.154 -0.620 -0.481
-0.079 -3.147 4.900
-0.782 4.343 2.776
Hg Cl In Sb
1 2 1 1
Direct
0.000 0.000 0.000
0.500 0.000 0.000
0.000 0.000 0.500
0.500 0.500 0.500
0.000 0.500 0.000
```

Output
* space-group type: P4/mmm (123)
* raw formation energy: -0.2 eV/f.u.

10.
In4Hg2SeCl | PBE-GGA | optimized geometry

```
In4Hg2SeCl
1.0
-3.199 2.099 1.472
0.109 -3.912 5.815
4.949 6.565 1.390
Hg In Cl Se
2 4 1 1
Direct
0.500 0.000 0.500
0.000 0.500 0.500
0.500 0.766 0.764
0.500 0.234 0.236
0.000 0.239 0.755
0.000 0.761 0.245
0.500 0.500 0.000
0.000 0.000 0.000
```

Output
* space-group type: P2/m (10)
* raw formation energy: -2.2 eV/f.u.

11.
InSnHgCl4 | PBE-GGA | optimized geometry

```
InSnHgCl4
1.0
-2.455 1.021 -7.544
6.094 -1.216 -5.036
-1.395 -7.774 -2.180
Sn Cl In Hg
2 8 2 2
Direct
0.246 0.246 0.944
0.754 0.754 0.056
0.869 0.487 0.859
0.833 0.833 0.429
0.487 0.869 0.859
0.433 0.433 0.721
0.567 0.567 0.279
0.167 0.167 0.571
0.131 0.513 0.141
0.513 0.131 0.141
0.646 0.646 0.618
0.354 0.354 0.382
0.037 0.037 0.205
0.963 0.963 0.795
```

Output
* space-group type: C2/m (12)
* raw formation energy: -5.1 eV/f.u.

12.
InSnHg2Cl | PBE-GGA | optimized geometry

```
InSnHg2Cl
1.0
5.587 0.000 0.000
0.000 6.019 0.000
0.000 0.000 5.587
Cl Hg In Sn
1 2 1 1
Direct
0.500 0.500 0.500
0.000 0.000 0.500
0.500 0.000 0.000
0.000 0.500 0.000
0.000 0.000 0.000
```

Output
* space-group type: P4/mmm (123)
* raw formation energy: -0.4 eV/f.u.